{
  "formula": "YHgSO",
  "functional": "PBE-GGA",
  "state": "optimized geometry",
  "lattice": [[-1.4569, -3.3752, -3.8815], [-1.4628, -5.5860, 5.4065], [-8.2385, 2.7967, 0.6605]],
  "species": ["Hg", "Hg", "Hg", "Hg", "O", "O", "O", "O", "S", "S", "S", "S", "Y", "Y", "Y", "Y"],
  "frac_coords": [[0.4854, 0.1635, 0.1088], [0.9854, 0.3365, 0.1088], [0.4854, 0.6635, 0.8912], [0.9854, 0.8365, 0.8912], [0.6178, 0.5231, 0.1028], [0.1178, 0.9769, 0.1028], [0.6178, 0.0231, 0.8972], [0.1178, 0.4769, 0.8972], [0.0745, 0.5980, 0.3882], [0.5745, 0.9020, 0.3882], [0.0745, 0.0980, 0.6118], [0.5745, 0.4020, 0.6118], [0.5723, 0.5659, 0.3307], [0.0723, 0.9341, 0.3307], [0.5723, 0.0659, 0.6693], [0.0723, 0.4341, 0.6693]],
  "energy_ev_per_atom": -5.34,
  "sg": "Pca2_1 (29)",
  "de_polymorph_mev_per_atom": 448
}